MgCr2Ir | GGA-PBE | optimized geometry

Properties
space group = Pmmm
size of the total moment = 0.74 μB/cell
crystal system = orthorhombic
energy of formation from the pure elements = 0.13 eV/f.u.

abc: 3.051 4.193 4.470
angles: 90.00 90.00 90.00
Fractional coordinates of all 4 atoms:
Mg  0.000  0.000  0.000
Cr  0.000  0.500  0.500
Cr  0.500  0.000  0.500
Ir  0.500  0.500  0.000

=====

Mg2CrIr | GGA-PBE | optimized geometry

Properties
space group = P4/mmm
energy above the most stable polymorph in this dataset = 294.5 meV per atom
size of the total moment = 0.70 μB/cell
crystal system = tetragonal
energy of formation from the pure elements = 1.00 eV/f.u.

abc: 2.762 2.762 8.213
angles: 90.00 90.00 90.00
Fractional coordinates of all 4 atoms:
Mg  0.000  0.000  0.237
Mg  0.000  0.000  0.763
Cr  0.500  0.500  0.500
Ir  0.500  0.500  0.000

=====

MgCrIrPt2 | GGA-PBE | optimized geometry

Properties
space group = P4/mmm
size of the total moment = 0.00 μB/cell
crystal system = tetragonal
energy of formation from the pure elements = 3.06 eV/f.u.

abc: 4.639 4.639 4.459
angles: 90.00 90.00 90.00
Fractional coordinates of all 5 atoms:
Mg  0.000  0.000  0.000
Cr  0.500  0.500  0.500
Ir  0.500  0.500  0.000
Pt  0.000  0.500  0.500
Pt  0.500  0.000  0.500

=====

MgCrIr2Rh | GGA-PBE | optimized geometry

Properties
space group = P4/mmm
size of the total moment = 2.43 μB/cell
crystal system = tetragonal
energy of formation from the pure elements = 8.24 eV/f.u.

abc: 4.443 4.443 4.419
angles: 90.00 90.00 90.00
Fractional coordinates of all 5 atoms:
Mg  0.000  0.000  0.000
Cr  0.000  0.000  0.500
Ir  0.000  0.500  0.000
Ir  0.500  0.000  0.000
Rh  0.500  0.500  0.500

=====

MgCrIrRu | GGA-PBE | optimized geometry

Properties
space group = F-43m
size of the total moment = 1.12 μB/cell
crystal system = cubic
energy of formation from the pure elements = -0.34 eV/f.u.

abc: 4.291 4.291 4.291
angles: 60.00 60.00 60.00
Fractional coordinates of all 4 atoms:
Mg  0.000  0.000  0.000
Cr  0.500  0.500  0.500
Ir  0.250  0.250  0.250
Ru  0.750  0.750  0.750

=====

MgScCrIr | GGA-PBE | optimized geometry

Properties
space group = F-43m
size of the total moment = 3.54 μB/cell
crystal system = cubic
energy of formation from the pure elements = -1.01 eV/f.u.

abc: 4.550 4.550 4.550
angles: 60.00 60.00 60.00
Fractional coordinates of all 4 atoms:
Mg  0.000  0.000  0.000
Sc  0.500  0.500  0.500
Cr  0.750  0.750  0.750
Ir  0.250  0.250  0.250

=====

MgSc2CrIr | GGA-PBE | optimized geometry

Properties
space group = P4/mmm
size of the total moment = 3.89 μB/cell
crystal system = tetragonal
energy of formation from the pure elements = 0.62 eV/f.u.

abc: 5.007 5.007 4.899
angles: 90.00 90.00 90.00
Fractional coordinates of all 5 atoms:
Mg  0.000  0.000  0.000
Sc  0.000  0.500  0.500
Sc  0.500  0.000  0.500
Cr  0.500  0.500  0.000
Ir  0.500  0.500  0.500

=====

MgCrSnIr | GGA-PBE | optimized geometry

Properties
space group = F-43m
size of the total moment = 3.40 μB/cell
crystal system = cubic
energy of formation from the pure elements = -0.47 eV/f.u.

abc: 4.548 4.548 4.548
angles: 60.00 60.00 60.00
Fractional coordinates of all 4 atoms:
Mg  0.000  0.000  0.000
Cr  0.750  0.750  0.750
Sn  0.500  0.500  0.500
Ir  0.250  0.250  0.250